Entry 1:
CaLaPr2Co: optimized geometry, PBE.

Output
electronic total energy = -0.173 hartree per atom
crystal system = tetragonal
M_tot = 0.00 μB/cell

Cell lengths 5.625, 5.625, 5.385 Å; angles 90.00, 90.00, 90.00 degrees
Space group P4/mmm (No. 123)
Unique sites:
1 Ca 0.000 0.000 0.000
2 La 0.500 0.500 0.000
3 Pr 0.000 0.500 0.500
4 Co 0.500 0.500 0.500

Entry 2:
RbCa2LaCo: optimized geometry, PBE.

Output
electronic total energy = -0.120 hartree per atom
crystal system = tetragonal
M_tot = 0.00 μB/cell

Cell lengths 5.982, 5.982, 5.216 Å; angles 90.00, 90.00, 90.00 degrees
Space group P4/mmm (No. 123)
Unique sites:
1 Rb 0.000 0.000 0.000
2 Ca 0.000 0.500 0.500
3 La 0.500 0.500 0.000
4 Co 0.500 0.500 0.500

Entry 3:
CaLaCo2Rh: optimized geometry, PBE.

Output
electronic total energy = -0.180 hartree per atom
crystal system = tetragonal
M_tot = 0.00 μB/cell

Cell lengths 4.654, 4.654, 4.995 Å; angles 90.00, 90.00, 90.00 degrees
Space group P4/mmm (No. 123)
Unique sites:
1 Ca 0.000 0.000 0.000
2 La 0.500 0.500 0.500
3 Co 0.000 0.500 0.500
4 Rh 0.500 0.500 0.000

Entry 4:
Ca2LaCoRu: optimized geometry, PBE.

Output
electronic total energy = -0.133 hartree per atom
crystal system = tetragonal
M_tot = 0.14 μB/cell

Cell lengths 5.867, 5.867, 4.592 Å; angles 90.00, 90.00, 90.00 degrees
Space group P4/mmm (No. 123)
Unique sites:
1 Ca 0.000 0.500 0.000
2 La 0.000 0.000 0.000
3 Co 0.500 0.500 0.500
4 Ru 0.000 0.000 0.500

Entry 5:
CaLa2CoSb: optimized geometry, PBE.

Output
crystal system = tetragonal
formation energy from raw total energies = -0.51 eV/atom
M_tot = 0.00 μB/cell

Cell lengths 5.130, 5.130, 5.501 Å; angles 90.00, 90.00, 90.00 degrees
Space group P4/mmm (No. 123)
Unique sites:
1 Ca 0.000 0.000 0.000
2 La 0.000 0.500 0.500
3 Co 0.000 0.000 0.500
4 Sb 0.500 0.500 0.000

Entry 6:
CaLa2ScCo: optimized geometry, PBE.

Output
electronic total energy = -0.187 hartree per atom
crystal system = tetragonal
M_tot = 0.00 μB/cell

Cell lengths 5.439, 5.439, 5.263 Å; angles 90.00, 90.00, 90.00 degrees
Space group P4/mmm (No. 123)
Unique sites:
1 Ca 0.000 0.000 0.000
2 La 0.000 0.500 0.500
3 Sc 0.500 0.500 0.000
4 Co 0.500 0.500 0.500

Entry 7:
CaLaSc2Co: optimized geometry, PBE.

Output
crystal system = tetragonal
excess energy over the best structure of this formula in the dataset = 0.000 eV per atom
M_tot = 0.00 μB/cell

Cell lengths 5.151, 5.151, 5.262 Å; angles 90.00, 90.00, 90.00 degrees
Space group P4/mmm (No. 123)
Unique sites:
1 Ca 0.000 0.000 0.000
2 La 0.500 0.500 0.000
3 Sc 0.000 0.500 0.500
4 Co 0.500 0.500 0.500

Entry 8:
CaLaSc2Co: optimized geometry, PBE.

Output
crystal system = tetragonal
excess energy over the best structure of this formula in the dataset = 0.075 eV per atom
M_tot = 0.00 μB/cell

Cell lengths 4.976, 4.976, 5.472 Å; angles 90.00, 90.00, 90.00 degrees
Space group P4/mmm (No. 123)
Unique sites:
1 Ca 0.000 0.000 0.000
2 La 0.500 0.500 0.000
3 Sc 0.000 0.500 0.500
4 Co 0.000 0.000 0.500

Entry 9:
CaLa2SmCo: optimized geometry, PBE.

Output
electronic total energy = -0.175 hartree per atom
crystal system = tetragonal
M_tot = 0.00 μB/cell

Cell lengths 5.454, 5.454, 5.649 Å; angles 90.00, 90.00, 90.00 degrees
Space group P4/mmm (No. 123)
Unique sites:
1 Ca 0.000 0.000 0.000
2 La 0.000 0.500 0.500
3 Sm 0.500 0.500 0.000
4 Co 0.500 0.500 0.500

Entry 10:
CaLaSm2Co: optimized geometry, PBE.

Output
electronic total energy = -0.173 hartree per atom
crystal system = tetragonal
M_tot = 0.00 μB/cell

Cell lengths 5.522, 5.522, 5.397 Å; angles 90.00, 90.00, 90.00 degrees
Space group P4/mmm (No. 123)
Unique sites:
1 Ca 0.000 0.000 0.000
2 La 0.500 0.500 0.000
3 Sm 0.000 0.500 0.500
4 Co 0.500 0.500 0.500

Entry 11:
CaLa2CoSn: optimized geometry, PBE.

Output
crystal system = tetragonal
excess energy over the best structure of this formula in the dataset = 0.080 eV per atom
M_tot = 0.00 μB/cell

Cell lengths 5.338, 5.338, 5.173 Å; angles 90.00, 90.00, 90.00 degrees
Space group P4/mmm (No. 123)
Unique sites:
1 Ca 0.000 0.000 0.000
2 La 0.000 0.500 0.500
3 Co 0.500 0.500 0.500
4 Sn 0.500 0.500 0.000

Entry 12:
CaLaCoSn2: optimized geometry, PBE.

Output
electronic total energy = -0.144 hartree per atom
crystal system = tetragonal
M_tot = 1.27 μB/cell

Cell lengths 5.604, 5.604, 4.663 Å; angles 90.00, 90.00, 90.00 degrees
Space group P4/mmm (No. 123)
Unique sites:
1 Ca 0.000 0.000 0.000
2 La 0.500 0.500 0.500
3 Co 0.000 0.000 0.500
4 Sn 0.000 0.500 0.000

Entry 13:
CaLa2CoSn: optimized geometry, PBE.

Output
crystal system = tetragonal
excess energy over the best structure of this formula in the dataset = 0.000 eV per atom
M_tot = 0.00 μB/cell

Cell lengths 5.199, 5.199, 5.415 Å; angles 90.00, 90.00, 90.00 degrees
Space group P4/mmm (No. 123)
Unique sites:
1 Ca 0.000 0.000 0.000
2 La 0.000 0.500 0.500
3 Co 0.000 0.000 0.500
4 Sn 0.500 0.500 0.000

Entry 14:
SrCaLa2Co: optimized geometry, PBE.

Output
crystal system = tetragonal
excess energy over the best structure of this formula in the dataset = 0.000 eV per atom
M_tot = 0.00 μB/cell

Cell lengths 5.466, 5.466, 5.966 Å; angles 90.00, 90.00, 90.00 degrees
Space group P4/mmm (No. 123)
Unique sites:
1 Sr 0.000 0.000 0.000
2 Ca 0.500 0.500 0.000
3 La 0.000 0.500 0.500
4 Co 0.500 0.500 0.500

Entry 15:
SrCaLa2Co: optimized geometry, PBE.

Output
crystal system = tetragonal
excess energy over the best structure of this formula in the dataset = 0.032 eV per atom
M_tot = 0.00 μB/cell

Cell lengths 5.428, 5.428, 6.153 Å; angles 90.00, 90.00, 90.00 degrees
Space group P4/mmm (No. 123)
Unique sites:
1 Sr 0.000 0.000 0.000
2 Ca 0.500 0.500 0.000
3 La 0.000 0.500 0.500
4 Co 0.000 0.000 0.500

Entry 16:
SrCa2LaCo: optimized geometry, PBE.

Output
electronic total energy = -0.130 hartree per atom
crystal system = tetragonal
M_tot = 0.00 μB/cell

Cell lengths 5.807, 5.807, 5.248 Å; angles 90.00, 90.00, 90.00 degrees
Space group P4/mmm (No. 123)
Unique sites:
1 Sr 0.000 0.000 0.000
2 Ca 0.000 0.500 0.500
3 La 0.500 0.500 0.000
4 Co 0.500 0.500 0.500

Entry 17:
CaLa2TbCo: optimized geometry, PBE.

Output
electronic total energy = -0.175 hartree per atom
crystal system = tetragonal
M_tot = 0.00 μB/cell

Cell lengths 5.452, 5.452, 5.572 Å; angles 90.00, 90.00, 90.00 degrees
Space group P4/mmm (No. 123)
Unique sites:
1 Ca 0.000 0.000 0.000
2 La 0.000 0.500 0.500
3 Tb 0.500 0.500 0.000
4 Co 0.500 0.500 0.500

Entry 18:
Ca2La6CoTc: optimized geometry, PBE.

Output
electronic total energy = -0.189 hartree per atom
crystal system = triclinic
M_tot = 0.00 μB/cell

Cell lengths 7.904, 7.909, 7.910 Å; angles 119.97, 90.01, 119.88 degrees
Space group P1 (No. 1)
Unique sites:
1 Ca 0.000 0.000 0.000
2 Ca 0.498 0.001 0.501
3 La 0.001 0.495 0.499
4 La 0.001 0.497 0.997
5 La 0.501 0.994 0.997
6 La 0.505 0.494 0.494
7 La 0.505 0.495 0.000
8 La 0.999 0.988 0.494
9 Co 0.754 0.492 0.245
10 Tc 0.270 0.452 0.725

Entry 19:
Ca2LaCoTe: optimized geometry, PBE.

Output
crystal system = tetragonal
formation energy from raw total energies = -0.45 eV/atom
M_tot = 0.00 μB/cell

Cell lengths 5.441, 5.441, 4.958 Å; angles 90.00, 90.00, 90.00 degrees
Space group P4/mmm (No. 123)
Unique sites:
1 Ca 0.000 0.500 0.000
2 La 0.000 0.000 0.500
3 Co 0.000 0.000 0.000
4 Te 0.500 0.500 0.500

Entry 20:
CaLaTiCo2: optimized geometry, PBE.

Output
electronic total energy = -0.155 hartree per atom
crystal system = tetragonal
M_tot = 2.16 μB/cell

Cell lengths 4.572, 4.572, 5.277 Å; angles 90.00, 90.00, 90.00 degrees
Space group P4/mmm (No. 123)
Unique sites:
1 Ca 0.000 0.000 0.000
2 La 0.000 0.000 0.500
3 Ti 0.500 0.500 0.500
4 Co 0.000 0.500 0.000

no.,N(E_F) (states/eV/f.u.)
1,6.6
2,4.3
3,1.5
4,8.6
5,3.2
6,5.7
7,5.2
8,5.9
9,6.6
10,6.6
11,5.4
12,5.4
13,2.7
14,5.4
15,4.9
16,5.1
17,6.3
18,9.2
19,4.3
20,10.3